Crystalline ThMnSi2Os at its relaxed geometry. Source: Alexandria via LeMat-Bulk, functional PBE.

a b c (Å): 4.0861 4.0861 5.8863
angles (deg): 110.31 110.31 90.00
Fractional coordinates of all 5 atoms:
Th  0.0000  0.0000  0.0000
Si  0.6234  0.6234  0.2469
Si  0.3766  0.3766  0.7531
Os  0.7500  0.2500  0.5000
Mn  0.2500  0.7500  0.5000

Results
As for the crystal system: tetragonal. The density of states at the Fermi level is 0.74 states/eV/atom. The value obtained for the energy is -8.421 eV/atom. The value obtained for the uncorrected formation energy is -0.688 eV per atom.